No. 1
Al3VI | PBE | optimized geometry

a = 5.154 Å, b = 5.154 Å, c = 5.154 Å
α = 90.00°, β = 90.00°, γ = 90.00°
Last column: magnetic moment on the atom in μB.
Fractional positions:
I (0.500, 0.500, 0.500)  0.22
Al (0.000, 0.500, 0.000)  0.07
Al (0.000, 0.000, 0.500)  0.07
Al (0.500, 0.000, 0.000)  0.07
V (0.000, 0.000, 0.000)  2.77

Calculated values
* space-group type: Pm-3m
* E_form (uncorrected): 0.63 eV per atom
* calculated volume: 136.87 Å³/cell
* Fermi-level density of states: 0.344 states/eV per atom



No. 2
NdFe4As12 | PBE | optimized geometry

a = 7.236 Å, b = 7.236 Å, c = 7.236 Å
α = 109.47°, β = 109.47°, γ = 109.47°
Last column: magnetic moment on the atom in μB.
Fractional positions:
Nd (0.000, 0.000, 0.000)  -0.03
Fe (0.500, 0.500, 0.500)  0.29
Fe (0.500, 0.000, 0.000)  0.29
Fe (0.000, 0.500, 0.000)  0.29
Fe (0.000, 0.000, 0.500)  0.29
As (0.844, 0.657, 0.501)  -0.01
As (0.156, 0.343, 0.499)  -0.01
As (0.156, 0.657, 0.813)  -0.01
As (0.844, 0.343, 0.187)  -0.01
As (0.657, 0.501, 0.844)  -0.01
As (0.343, 0.499, 0.156)  -0.01
As (0.657, 0.813, 0.156)  -0.01
As (0.343, 0.187, 0.844)  -0.01
As (0.501, 0.844, 0.657)  -0.01
As (0.499, 0.156, 0.343)  -0.01
As (0.187, 0.844, 0.343)  -0.01
As (0.813, 0.156, 0.657)  -0.01

Calculated values
* space-group type: Im-3
* calculated formation energy: -36.38 kJ per mole of atoms
* calculated volume: 291.64 Å³/cell
* Fermi-level density of states: 0.904 states/eV per atom



No. 3
PmDyAs2 | PBE | optimized geometry

a = 5.119 Å, b = 5.119 Å, c = 5.119 Å
α = 60.00°, β = 60.00°, γ = 60.00°
Fractional positions:
As (0.250, 0.250, 0.250)
As (0.750, 0.750, 0.750)
Pm (0.500, 0.500, 0.500)
Dy (0.000, 0.000, 0.000)

Calculated values
* space-group type: Fm-3m
* calculated formation energy: -101.95 kJ per mole of atoms
* calculated volume: 94.83 Å³/cell
* Fermi-level density of states: 0.553 states/eV per atom



No. 4
MgFeSnRu | PBE | optimized geometry

a = 4.442 Å, b = 4.442 Å, c = 4.442 Å
α = 60.00°, β = 60.00°, γ = 60.00°
Last column: magnetic moment on the atom in μB.
Fractional positions:
Ru (0.750, 0.750, 0.750)  0.04
Mg (0.000, 0.000, 0.000)  -0.02
Sn (0.500, 0.500, 0.500)  -0.06
Fe (0.250, 0.250, 0.250)  1.72

Calculated values
* space-group type: F-43m
* calculated formation energy: 3.43 kJ per mole of atoms
* calculated volume: 61.97 Å³/cell
* Fermi-level density of states: 1.880 states/eV per atom



No. 5
KAgSnBr4 | PBE | optimized geometry

a = 7.302 Å, b = 8.035 Å, c = 8.891 Å
α = 90.00°, β = 106.43°, γ = 90.00°
Fractional positions:
K (0.791, 0.750, 0.950)
K (0.209, 0.250, 0.050)
Ag (0.224, 0.750, 0.325)
Ag (0.776, 0.250, 0.675)
Sn (0.796, 0.750, 0.447)
Sn (0.204, 0.250, 0.553)
Br (0.019, 0.511, 0.734)
Br (0.981, 0.011, 0.266)
Br (0.981, 0.489, 0.266)
Br (0.019, 0.989, 0.734)
Br (0.491, 0.750, 0.162)
Br (0.509, 0.250, 0.838)
Br (0.504, 0.750, 0.601)
Br (0.496, 0.250, 0.399)

Calculated values
* space-group type: P2_1/m
* E_form (uncorrected): -0.89 eV per atom
* calculated volume: 500.35 Å³/cell
* Fermi-level density of states: 0.000 states/eV per atom



No. 6
Y6Al3Zn | PBE | optimized geometry

a = 5.138 Å, b = 9.054 Å, c = 11.449 Å
α = 108.89°, β = 90.00°, γ = 90.00°
Fractional positions:
Y (0.250, 0.468, 0.090)
Y (0.750, 0.532, 0.910)
Y (0.250, 0.131, 0.157)
Y (0.750, 0.869, 0.843)
Y (0.250, 0.661, 0.668)
Y (0.750, 0.339, 0.332)
Y (0.250, 0.246, 0.501)
Y (0.750, 0.754, 0.499)
Y (0.250, 0.842, 0.316)
Y (0.750, 0.158, 0.684)
Y (0.250, 0.111, 0.872)
Y (0.750, 0.889, 0.128)
Al (0.250, 0.529, 0.378)
Al (0.750, 0.471, 0.622)
Al (0.250, 0.387, 0.781)
Al (0.750, 0.613, 0.219)
Al (0.250, 0.770, 0.966)
Al (0.750, 0.230, 0.034)
Zn (0.250, 0.958, 0.600)
Zn (0.750, 0.042, 0.400)

Calculated values
* space-group type: P2_1/m
* calculated formation energy: -29.43 kJ per mole of atoms
* calculated volume: 503.91 Å³/cell
* Fermi-level density of states: 0.914 states/eV per atom



No. 7
NbHPd3 | PBE | optimized geometry

a = 5.666 Å, b = 5.717 Å, c = 5.779 Å
α = 59.64°, β = 90.00°, γ = 119.70°
Fractional positions:
Nb (0.718, 0.498, 0.724)
Nb (0.219, 0.502, 0.276)
H (0.468, 0.500, 0.000)
H (0.968, 0.500, 0.000)
Pd (0.715, 0.992, 0.254)
Pd (0.222, 0.008, 0.746)
Pd (0.214, 0.992, 0.254)
Pd (0.218, 0.500, 0.750)
Pd (0.722, 0.008, 0.746)
Pd (0.718, 0.500, 0.250)

Calculated values
* space-group type: C2/m
* total DFT energy (no corrections): -5.97 eV/atom
* calculated volume: 132.22 Å³/cell
* Fermi-level density of states: 0.912 states/eV per atom



No. 8
YTl4Ru | PBE | optimized geometry

a = 6.064 Å, b = 6.064 Å, c = 6.064 Å
α = 60.00°, β = 60.00°, γ = 60.00°
Last column: magnetic moment on the atom in μB.
Fractional positions:
Y (0.750, 0.750, 0.750)  -0.11
Tl (0.877, 0.374, 0.374)  0.00
Tl (0.374, 0.374, 0.877)  0.00
Tl (0.374, 0.877, 0.374)  0.00
Tl (0.374, 0.374, 0.374)  0.00
Ru (0.000, 0.000, 0.000)  1.35

Calculated values
* space-group type: F-43m
* calculated formation energy: 56.35 kJ per mole of atoms
* calculated volume: 157.67 Å³/cell
* Fermi-level density of states: 0.898 states/eV per atom



No. 9
K2Na6AgAu | PBE | optimized geometry

a = 8.247 Å, b = 8.247 Å, c = 8.247 Å
α = 60.00°, β = 60.00°, γ = 90.00°
Fractional positions:
K (0.250, 0.750, 0.500)
K (0.750, 0.250, 0.500)
Na (0.248, 0.752, 0.000)
Na (0.752, 0.752, 0.000)
Na (0.248, 0.248, 0.504)
Na (0.752, 0.248, 0.000)
Na (0.248, 0.248, 0.000)
Na (0.752, 0.752, 0.496)
Ag (0.500, 0.500, 0.000)
Au (0.000, 0.000, 0.000)

Calculated values
* space-group type: Fm-3m
* calculated formation energy: -3.14 kJ per mole of atoms
* calculated volume: 396.68 Å³/cell
* Fermi-level density of states: 0.601 states/eV per atom



No. 10
Lu2AgS | PBE | optimized geometry

a = 3.499 Å, b = 3.499 Å, c = 9.441 Å
α = 79.32°, β = 79.32°, γ = 60.00°
Fractional positions:
S (0.500, 0.500, 0.500)
Lu (0.105, 0.105, 0.684)
Lu (0.895, 0.895, 0.316)
Ag (0.000, 0.000, 0.000)

Calculated values
* space-group type: R-3m
* E_form (uncorrected): -0.59 eV per atom
* calculated volume: 97.77 Å³/cell
* Fermi-level density of states: 0.465 states/eV per atom



No. 11
K2AgAu2 | PBE | optimized geometry

a = 6.267 Å, b = 5.876 Å, c = 9.301 Å
α = 99.41°, β = 90.00°, γ = 122.22°
Fractional positions:
K (0.522, 0.300, 0.158)
K (0.222, 0.700, 0.342)
K (0.478, 0.700, 0.842)
K (0.778, 0.300, 0.658)
Ag (0.894, 0.000, 0.250)
Ag (0.106, 0.000, 0.750)
Au (0.740, 0.742, 0.494)
Au (0.998, 0.258, 0.006)
Au (0.260, 0.258, 0.506)
Au (0.002, 0.742, 0.994)

Calculated values
* space-group type: C2/c
* calculated formation energy: -21.06 kJ per mole of atoms
* calculated volume: 284.31 Å³/cell
* Fermi-level density of states: 0.213 states/eV per atom



No. 12
TeMoPb | PBE | optimized geometry

a = 8.476 Å, b = 8.230 Å, c = 3.217 Å
α = 83.24°, β = 74.62°, γ = 22.14°
Last column: magnetic moment on the atom in μB.
Fractional positions:
Mo (0.009, 0.009, 0.991)  0.06
Pb (0.359, 0.359, 0.641)  0.00
Te (0.633, 0.633, 0.367)  0.00

Calculated values
* space-group type: Fmm2
* E_form (uncorrected): 0.48 eV per atom
* calculated volume: 76.32 Å³/cell
* Fermi-level density of states: 0.946 states/eV per atom